1.
# Ta4C (PBE-GGA, relaxed)
data_Ta4C
_chemical_formula_sum 'Ta4 C1'
_cell_length_a 3.0059
_cell_length_b 3.0059
_cell_length_c 10.6448
_cell_angle_alpha 90.00
_cell_angle_beta 90.00
_cell_angle_gamma 120.00
_space_group_name_H-M_alt 'P -3 m 1'
_space_group_IT_number 164
_space_group_name_Hall '-P 3 2"'
loop_
_atom_site_label
_atom_site_type_symbol
_atom_site_fract_x
_atom_site_fract_y
_atom_site_fract_z
Ta1 Ta 0.3333 0.6667 0.1175
Ta2 Ta 0.3333 0.6667 0.3790
C1 C 0.0000 0.0000 0.5000
# Mass density, g/cm3: 14.67
# DOS at the Fermi energy, states/eV/atom: 0.81

2.
# Ta4C (PBE-GGA, relaxed)
data_Ta4C
_chemical_formula_sum 'Ta8 C2'
_cell_length_a 3.4414
_cell_length_b 3.4414
_cell_length_c 15.0416
_cell_angle_alpha 90.00
_cell_angle_beta 90.00
_cell_angle_gamma 90.00
_space_group_name_H-M_alt 'I 4/m m m'
_space_group_IT_number 139
_space_group_name_Hall '-I 4 2'
loop_
_atom_site_label
_atom_site_type_symbol
_atom_site_fract_x
_atom_site_fract_y
_atom_site_fract_z
Ta1 Ta 0.0000 0.0000 0.0850
Ta2 Ta 0.0000 0.5000 0.2500
C1 C 0.0000 0.0000 0.5000
# Mass density, g/cm3: 13.72
# DOS at the Fermi energy, states/eV/atom: 1.01

3.
# Ta4C (PBE-GGA, relaxed)
data_Ta4C
_chemical_formula_sum 'Ta8 C2'
_cell_length_a 7.4214
_cell_length_b 7.4214
_cell_length_c 2.8513
_cell_angle_alpha 90.00
_cell_angle_beta 90.00
_cell_angle_gamma 90.00
_space_group_name_H-M_alt 'I 4/m'
_space_group_IT_number 87
_space_group_name_Hall '-I 4'
loop_
_atom_site_label
_atom_site_type_symbol
_atom_site_fract_x
_atom_site_fract_y
_atom_site_fract_z
Ta1 Ta 0.0494 0.2604 0.0000
C1 C 0.0000 0.0000 0.5000
# Mass density, g/cm3: 15.56
# DOS at the Fermi energy, states/eV/atom: 0.67

1 comes first in stability; the runner-up is 0.076 eV/atom higher.